Record 1
Below is a geometry-optimized GeTe2Ir structure, with properties calculated at the PBE level.

Computed properties:
**Symmetry**: F-43m (216)

```
data_GeTe2Ir
_chemical_formula_sum 'Ge1 Te2 Ir1'
_symmetry_space_group_name_H-M 'P 1'
_symmetry_Int_Tables_number 1
_cell_length_a 4.924
_cell_length_b 4.924
_cell_length_c 4.924
_cell_angle_alpha 60.00
_cell_angle_beta 60.00
_cell_angle_gamma 60.00
loop_
_symmetry_equiv_pos_as_xyz
'x,y,z'
loop_
_atom_site_label
_atom_site_fract_x
_atom_site_fract_y
_atom_site_fract_z
_atom_site_occupancy
Ge1 0.000 0.000 0.000 1
Te1 0.500 0.500 0.500 1
Te2 0.750 0.750 0.750 1
Ir1 0.250 0.250 0.250 1
```


Record 2
Below is a geometry-optimized GdNpOs structure, with properties calculated at the PBE level.

Computed properties:
**ΔH_f (0 K)**: 0.199 eV/atom
**Symmetry**: F-43m (216)
**Offset from the most stable computed form**: 0.000 eV/atom

```
data_GdNpOs
_chemical_formula_sum 'Gd1 Np1 Os1'
_symmetry_space_group_name_H-M 'P 1'
_symmetry_Int_Tables_number 1
_cell_length_a 4.694
_cell_length_b 4.694
_cell_length_c 4.694
_cell_angle_alpha 60.00
_cell_angle_beta 60.00
_cell_angle_gamma 60.00
loop_
_symmetry_equiv_pos_as_xyz
'x,y,z'
loop_
_atom_site_label
_atom_site_fract_x
_atom_site_fract_y
_atom_site_fract_z
_atom_site_occupancy
Gd1 0.000 0.000 0.000 1
Np1 0.500 0.500 0.500 1
Os1 0.250 0.250 0.250 1
```


Record 3
Below is a geometry-optimized Zr2ZnCd structure, with properties calculated at the PBE level.

Computed properties:
**ΔH_f (0 K)**: -0.139 eV/atom
**Symmetry**: P4mm (99)
**Offset from the most stable computed form**: 0.000 eV/atom

```
data_Zr2ZnCd
_chemical_formula_sum 'Zr2 Zn1 Cd1'
_symmetry_space_group_name_H-M 'P 1'
_symmetry_Int_Tables_number 1
_cell_length_a 3.115
_cell_length_b 3.115
_cell_length_c 8.438
_cell_angle_alpha 90.00
_cell_angle_beta 90.00
_cell_angle_gamma 90.00
loop_
_symmetry_equiv_pos_as_xyz
'x,y,z'
loop_
_atom_site_label
_atom_site_fract_x
_atom_site_fract_y
_atom_site_fract_z
_atom_site_occupancy
Zr1 0.000 0.000 0.000 1
Zr2 0.500 0.500 0.273 1
Zn1 0.500 0.500 0.767 1
Cd1 0.000 0.000 0.546 1
```


| no. | calculated total energy (eV/cell) |
| --- | --- |
| 1 | -17.217 |
| 2 | -28.052 |
| 3 | -19.810 |